An optimized crystal structure of KFe2Pt. Source: Alexandria via LeMat-Bulk, functional PBE.

abc: 4.5882 4.5882 4.5882
angles: 60.00 60.00 60.00
Atoms (fractional coordinates):
K 0.0000 0.0000 0.0000
Fe 0.2500 0.2500 0.2500
Fe 0.7500 0.7500 0.7500
Pt 0.5000 0.5000 0.5000

Summary:
Symmetry: Fm-3m, No. 225

=====

An optimized crystal structure of KFe2Pt. Source: Alexandria via LeMat-Bulk, functional PBE.

abc: 5.2310 5.2310 2.6885
angles: 90.00 90.00 113.96
Atoms (fractional coordinates):
K 0.0000 0.0000 0.0000
Fe 0.0000 0.5000 0.5000
Fe 0.5000 0.0000 0.5000
Pt 0.5000 0.5000 0.0000

Summary:
Symmetry: Cmmm, No. 65

=====

An optimized crystal structure of K4FePt. Source: Alexandria via LeMat-Bulk, functional PBE.

abc: 6.6624 6.6624 6.6624
angles: 60.00 60.00 60.00
Atoms (fractional coordinates):
K 0.1236 0.1236 0.1236
K 0.1236 0.1236 0.6291
K 0.1236 0.6291 0.1236
K 0.6291 0.1236 0.1236
Fe 0.5000 0.5000 0.5000
Pt 0.7500 0.7500 0.7500

Summary:
Symmetry: F-43m, No. 216

=====

An optimized crystal structure of KFePt3. Source: Alexandria via LeMat-Bulk, functional PBE.

abc: 4.8786 4.8786 4.8786
angles: 90.00 90.00 90.00
Atoms (fractional coordinates):
K 0.0000 0.0000 0.0000
Fe 0.5000 0.5000 0.5000
Pt 0.0000 0.0000 0.5000
Pt 0.0000 0.5000 0.0000
Pt 0.5000 0.0000 0.0000

Summary:
Symmetry: Pm-3m, No. 221
ΔE to the lowest computed polymorph (eV per formula unit): 10.73

=====

An optimized crystal structure of KFe2Pt. Source: Alexandria via LeMat-Bulk, functional PBE.

abc: 4.2538 4.2538 3.8434
angles: 90.00 90.00 90.00
Atoms (fractional coordinates):
K 0.0000 0.0000 0.0000
Fe 0.0000 0.5000 0.5000
Fe 0.5000 0.0000 0.5000
Pt 0.5000 0.5000 0.0000

Summary:
Symmetry: P4/mmm, No. 123

=====

An optimized crystal structure of KFe2Pt. Source: Alexandria via LeMat-Bulk, functional PBE.

abc: 6.1135 6.1135 6.1135
angles: 154.46 128.24 58.58
Atoms (fractional coordinates):
K 0.0000 0.0000 0.0000
Fe 0.2925 0.7925 0.5000
Fe 0.7075 0.2075 0.5000
Pt 0.5000 0.5000 0.0000

Summary:
Symmetry: Immm, No. 71

=====

An optimized crystal structure of KFe2Pt. Source: Alexandria via LeMat-Bulk, functional PBE.

abc: 10.3457 10.3457 10.3457
angles: 15.46 15.46 15.46
Atoms (fractional coordinates):
K 0.0000 0.0000 0.0000
Fe 0.2369 0.2369 0.2369
Fe 0.7631 0.7631 0.7631
Pt 0.5000 0.5000 0.5000

Summary:
Symmetry: R-3m, No. 166

=====

An optimized crystal structure of K3FePt. Source: Alexandria via LeMat-Bulk, functional PBE.

abc: 6.1553 6.1553 6.1553
angles: 90.00 90.00 90.00
Atoms (fractional coordinates):
K 0.0000 0.0000 0.5000
K 0.0000 0.5000 0.0000
K 0.5000 0.0000 0.0000
Fe 0.5000 0.5000 0.5000
Pt 0.0000 0.0000 0.0000

Summary:
Symmetry: Pm-3m, No. 221
ΔE to the lowest computed polymorph (eV per formula unit): 0.00

=====

An optimized crystal structure of KFe2Pt. Source: Alexandria via LeMat-Bulk, functional PBE.

abc: 6.5242 6.5242 6.5242
angles: 38.46 38.46 38.46
Atoms (fractional coordinates):
K 0.0000 0.0000 0.0000
Fe 0.1822 0.1822 0.1822
Fe 0.4872 0.4872 0.4872
Pt 0.8157 0.8157 0.8157

Summary:
Symmetry: R3m, No. 160

=====

An optimized crystal structure of KFe2Pt. Source: Alexandria via LeMat-Bulk, functional PBE.

abc: 2.7524 3.9504 7.4041
angles: 90.00 92.35 90.00
Atoms (fractional coordinates):
K 0.0000 0.0000 0.0000
Fe 0.4865 0.5000 0.3457
Fe 0.5135 0.5000 0.6543
Pt 0.0000 0.0000 0.5000

Summary:
Symmetry: P2/m, No. 10

=====

An optimized crystal structure of KFe3Pt. Source: Alexandria via LeMat-Bulk, functional PBE.

abc: 4.3511 4.3511 4.3511
angles: 90.00 90.00 90.00
Atoms (fractional coordinates):
K 0.0000 0.0000 0.0000
Fe 0.0000 0.0000 0.5000
Fe 0.0000 0.5000 0.0000
Fe 0.5000 0.0000 0.0000
Pt 0.5000 0.5000 0.5000

Summary:
Symmetry: Pm-3m, No. 221
ΔE to the lowest computed polymorph (eV per formula unit): 6.98

=====

An optimized crystal structure of KFe2Pt. Source: Alexandria via LeMat-Bulk, functional PBE.

abc: 9.2934 9.2934 9.2934
angles: 149.44 149.44 43.77
Atoms (fractional coordinates):
K 0.3750 0.6250 0.7500
K 0.6250 0.3750 0.2500
Fe 0.0000 0.0000 0.0000
Fe 0.0000 0.0000 0.5000
Fe 0.0000 0.5000 0.0000
Fe 0.5000 0.0000 0.5000
Pt 0.1250 0.8750 0.2500
Pt 0.8750 0.1250 0.7500

Summary:
Symmetry: I4_1/amd, No. 141

=====

no.,formation enthalpy at 0 K (eV/atom)
1,0.831
2,0.837
3,1.006
4,2.676
5,0.919
6,0.618
7,0.647
8,0.763
9,0.309
10,0.404
11,2.281
12,0.696